No. 1
A plane-wave DFT calculation with PBE-GGA was carried out for a relaxed structure of Si4OsBr.

```
Si4OsBr
1.0
0.000 3.644 3.644
3.644 0.000 3.644
3.644 3.644 0.000
Si Os Br
4 1 1
direct
0.125 0.125 0.125
0.125 0.125 0.625
0.125 0.625 0.125
0.625 0.125 0.125
0.750 0.750 0.750
0.500 0.500 0.500
```

Computed properties:
**Space-group type**: F-43m, No. 216
**Electronic total energy**: -4.758 eV per atom
**ΔE_f (raw)**: 1.007 eV per atom



No. 2
A plane-wave DFT calculation with PBE-GGA was carried out for a relaxed structure of LiHoTe3Pb.

```
LiHoTe3Pb
1.0
9.080 0.000 0.000
0.000 4.394 0.000
-2.279 0.000 9.429
Li Ho Te Pb
2 2 6 2
direct
0.083 0.250 0.085
0.917 0.750 0.915
0.331 0.750 0.334
0.669 0.250 0.666
0.105 0.250 0.374
0.232 0.750 0.011
0.431 0.750 0.663
0.569 0.250 0.337
0.768 0.250 0.989
0.895 0.750 0.626
0.184 0.250 0.740
0.816 0.750 0.260
```

Computed properties:
**Space-group type**: P2_1/m, No. 11
**Electronic total energy**: -4.193 eV per atom
**ΔE_f (raw)**: -0.922 eV per atom



Question: Which value of electronic total energy does entry 2 give?
Answer: -4.193 eV per atom